# Pm15Sm4Dy, relaxed, DFT GGA-PBE
# Formation energy in eV per atom: 0.015
data_Pm15Sm4Dy
_cell_length_a 5.1502
_cell_length_b 5.1502
_cell_length_c 25.7247
_cell_angle_alpha 90.00
_cell_angle_beta 90.00
_cell_angle_gamma 90.00
_symmetry_space_group_name_H-M 'P 4/m m m'
_symmetry_Int_Tables_number 123
_symmetry_space_group_name_Hall '-P 4 2'
loop_
_atom_site_label
_atom_site_type_symbol
_atom_site_fract_x
_atom_site_fract_y
_atom_site_fract_z
Pm1 Pm 0.0000 0.0000 0.0000
Pm2 Pm 0.0000 0.0000 0.1992
Pm3 Pm 0.0000 0.0000 0.3998
Pm4 Pm 0.0000 0.5000 0.0991
Pm5 Pm 0.0000 0.5000 0.2996
Pm6 Pm 0.0000 0.5000 0.5000
Sm1 Sm 0.5000 0.5000 0.1994
Sm2 Sm 0.5000 0.5000 0.3998
Dy1 Dy 0.5000 0.5000 0.0000